[1]
CoTcP2O | PBE with a Hubbard U | relaxed

```
CoTcP2O
1.0
3.9602 0.0000 0.0000
0.0000 5.1129 0.0000
0.0000 0.0000 3.9602
O Co P Tc
1 1 2 1
direct
0.5000 0.5000 0.5000
0.0000 0.0000 0.0000
0.5000 0.0000 0.0000
0.0000 0.0000 0.5000
0.0000 0.5000 0.0000
```

E above lowest polymorph (eV/atom): 0.8661
Space-group type: P4/mmm (123)
Magnetic moment (μB/atom): 0.76
V (A^3/atom): 16.04

=====

[2]
CoTcP2O | PBE with a Hubbard U | relaxed

```
CoTcP2O
1.0
4.5288 0.0000 0.0000
0.0000 4.5288 0.0000
0.0000 0.0000 3.3341
Co P O Tc
1 2 1 1
direct
0.0000 0.0000 0.0000
0.0000 0.5000 0.0000
0.5000 0.0000 0.0000
0.0000 0.0000 0.5000
0.5000 0.5000 0.5000
```

E above lowest polymorph (eV/atom): 0.2614
Space-group type: P4/mmm (123)
Magnetic moment (μB/atom): 0.55
V (A^3/atom): 13.68

=====

[3]
CoTcP2O | PBE with a Hubbard U | relaxed

```
CoTcP2O
1.0
4.7562 0.0000 0.0000
0.0000 4.7562 0.0000
0.0000 0.0000 3.6775
O Tc P Co
1 1 2 1
direct
0.0000 0.0000 0.5000
0.0000 0.0000 0.0000
0.5000 0.0000 0.0000
0.0000 0.5000 0.0000
0.5000 0.5000 0.5000
```

E above lowest polymorph (eV/atom): 0.0000
Space-group type: P4/mmm (123)
Magnetic moment (μB/atom): 0.44
V (A^3/atom): 16.64